DFT (meta-GGA SCAN) results for a crystal of Ca5MgZn relaxed with PBEsol.

Total magnetic moment (μB per formula unit): 0.03
Final energy (eV/atom): -9.572
Formation enthalpy at 0 K (meV per atom): -28
Space-group type: No. 123

POSCAR file:
```
Ca5MgZn
1.0
5.112 0.000 0.000
0.000 5.112 0.000
0.000 0.000 8.983
Ca Mg Zn
5 1 1
Direct
0.000 0.000 0.000
0.000 0.500 0.302
0.000 0.500 0.698
0.500 0.000 0.302
0.500 0.000 0.698
0.500 0.500 0.000
0.000 0.000 0.500
```